## P
First-principles (PBE-GGA) data for a geometry-optimized TbIBr2 structure, as listed in Alexandria via LeMat-Bulk.

POSCAR file:
```
TbIBr2
1.0
4.1466 -6.1634 0.0000
4.1466 6.1634 0.0000
-3.5872 0.0000 6.5971
Tb I Br
2 2 4
Direct
0.0900 0.9100 0.5000 Tb
0.9100 0.0900 0.0000 Tb
0.6766 0.8562 0.2133 I
0.8562 0.6766 0.7133 I
0.0071 0.5082 0.2371 Br
0.1416 0.2753 0.7934 Br
0.2753 0.1416 0.2934 Br
0.5082 0.0071 0.7371 Br
```

Calculated values
**Spin magnetization**: 0.0 μB per formula unit
**Volume**: 337.2 Å³ per cell
**D(E_F)**: 0.000 states/eV per atom

## Q
First-principles (PBE-GGA) data for a geometry-optimized TbIBr2 structure, as listed in Alexandria via LeMat-Bulk.

POSCAR file:
```
TbIBr2
1.0
-1.9271 6.0903 3.8882
1.9271 -6.0903 3.8882
1.9271 6.0903 -3.8882
Tb I Br
1 1 2
Direct
0.0000 0.0000 0.0000 Tb
0.3050 0.8050 0.5000 I
0.0181 0.3678 0.6502 Br
0.7176 0.3678 0.3498 Br
```

Calculated values
**Spin magnetization**: 0.0 μB per formula unit
**Volume**: 182.5 Å³ per cell
**D(E_F)**: 0.000 states/eV per atom

Relative energy table, unit eV/atom: P 0.000; Q 0.018